A relaxed Pm3NdPt crystal, computed with PBE.

Properties
Space-group type: No. 221
Fermi-level density of states in states/eV per atom: 2.166
Formation enthalpy at 0 K in eV per atom: -0.28

The structure in POSCAR format:
```
Pm3NdPt
1.0
-2.9201 2.0624 -4.3619
3.9624 -1.8839 -3.5434
-2.7529 -4.8993 -0.4736
Pm Pt Nd
3 1 1
Direct
0.0000 0.5000 0.0000
0.0000 0.0000 0.5000
0.5000 0.0000 0.0000
0.0000 0.0000 0.0000
0.5000 0.5000 0.5000
```